No. 1
The following is a PBE-GGA calculation of crystalline Tl3CdS at its relaxed geometry, from Alexandria via LeMat-Bulk.

The structure in POSCAR format:
```
Tl3CdS
1.0
5.817 0.000 0.000
0.000 5.817 0.000
0.000 0.000 5.817
Tl S Cd
3 1 1
Direct
0.000 0.500 0.000
0.000 0.000 0.500
0.500 0.000 0.000
0.000 0.000 0.000
0.500 0.500 0.500
```

Computed properties:
* V: 39.360 A^3/atom
* space group: No. 221
* N(E_F): 2.65 states/eV/cell
* uncorrected formation energy: 0.157 eV/atom

=====

No. 2
The following is a PBE-GGA calculation of crystalline Ta2SiAg at its relaxed geometry, from Alexandria via LeMat-Bulk.

The structure in POSCAR format:
```
Ta2SiAg
1.0
4.164 0.000 0.000
0.000 2.945 -0.021
0.000 1.448 5.453
Ag Si Ta
1 1 2
Direct
0.000 0.683 0.501
0.500 0.557 0.766
0.000 0.963 0.969
0.500 0.297 0.263
```

Computed properties:
* V: 16.747 A^3/atom
* space group: No. 6
* N(E_F): 2.11 states/eV/cell
* uncorrected formation energy: 0.026 eV/atom